1:
First-principles (PBE-GGA) data for a relaxed structure of SrLaSeN2, as listed in Alexandria via LeMat-Bulk.

Computed properties:
Volume, Å³ per cell: 121.6
Space group: P4/mmm, No. 123

Cell: 4.4433 4.4433 6.1567 Å, 90.00 90.00 90.00°
Sites, in units of the cell vectors:
Sr1 0.0000 0.0000 0.0000
La1 0.5000 0.5000 0.5000
Se1 0.5000 0.5000 0.0000
N1 0.0000 0.5000 0.5000
N2 0.5000 0.0000 0.5000

2:
First-principles (PBE-GGA) data for a relaxed structure of SrLaSeN2, as listed in Alexandria via LeMat-Bulk.

Computed properties:
Volume, Å³ per cell: 112.9
Space group: P4/mmm, No. 123

Cell: 4.6398 4.6398 5.2440 Å, 90.00 90.00 90.00°
Sites, in units of the cell vectors:
Sr1 0.0000 0.0000 0.0000
La1 0.5000 0.5000 0.0000
Se1 0.5000 0.5000 0.5000
N1 0.0000 0.5000 0.5000
N2 0.5000 0.0000 0.5000

Which structure wins on stability? 1 wins.